An optimized crystal structure of TaIBrO2, computed with PBE-GGA.

Theoretical density (Mg/m³): 7.0
Formation energy from raw total energies (meV per atom): -1131
Total moment (μB/atom): 0.0000
Symmetry: No. 123
Final energy (eV/cell): -30.65

Lattice parameters (Å, degrees): 4.043 4.043 6.076 90.00 90.00 90.00
Element x y z (fractional)
I  0.000  0.000  0.500
O  0.000  0.500  0.000
O  0.500  0.000  0.000
Br  0.500  0.500  0.500
Ta  0.000  0.000  0.000

---

An optimized crystal structure of In2SiN, computed with PBE-GGA.

Theoretical density (Mg/m³): 5.2
Formation energy from raw total energies (meV per atom): 411
Total moment (μB/atom): 0.0000
Symmetry: No. 122
Final energy (eV/cell): -35.16

Lattice parameters (Å, degrees): 5.712 5.712 6.663 64.62 64.62 90.00
Element x y z (fractional)
Si  0.000  0.000  0.000
Si  0.750  0.250  0.500
N  0.500  0.500  0.000
N  0.250  0.750  0.500
In  0.561  0.125  0.250
In  0.189  0.625  0.250
In  0.375  0.439  0.750
In  0.875  0.811  0.750

---

An optimized crystal structure of RbUBr6, computed with PBE-GGA.

Theoretical density (Mg/m³): 3.9
Formation energy from raw total energies (meV per atom): -1401
Total moment (μB/atom): 0.1250
Symmetry: No. 12
Final energy (eV/cell): -33.50

Lattice parameters (Å, degrees): 7.278 7.278 7.080 98.97 98.97 108.51
Last column: magnetic moment on the atom in μB.
Element x y z (fractional)
Rb  0.000  0.000  0.000  0.00
U  0.500  0.500  0.500  1.23
Br  0.477  0.800  0.763  -0.04
Br  0.800  0.477  0.763  -0.04
Br  0.200  0.523  0.237  -0.04
Br  0.523  0.200  0.237  -0.04
Br  0.232  0.232  0.635  -0.04
Br  0.768  0.768  0.365  -0.04

---

An optimized crystal structure of NaSrGa4, computed with PBE-GGA.

Theoretical density (Mg/m³): 4.8
Total moment (μB/atom): 0.0000
Symmetry: No. 216
Final energy (eV/cell): -16.90
ΔH_f (0 K) (meV/atom): -298

Lattice parameters (Å, degrees): 5.737 5.737 5.737 60.00 60.00 60.00
Element x y z (fractional)
Sr  0.250  0.250  0.250
Ga  0.625  0.625  0.124
Ga  0.625  0.124  0.625
Ga  0.625  0.625  0.625
Ga  0.124  0.625  0.625
Na  0.000  0.000  0.000